Record 1
{
  "formula": "LiSmMgAg",
  "functional": "PBE",
  "state": "relaxed",
  "magnetic_moment_mub_per_cell": 0.0,
  "ef_ev_per_fu": -0.64,
  "lattice": [[5.010, 0.000, 0.000], [2.505, 4.339, 0.000], [2.505, 1.446, 4.090]],
  "species": ["Sm", "Mg", "Ag", "Li"],
  "frac_coords": [[0.500, 0.500, 0.500], [0.000, 0.000, 0.000], [0.250, 0.250, 0.250], [0.750, 0.750, 0.750]]
}

Record 2
{
  "formula": "BaTmIr2O8",
  "functional": "PBE",
  "state": "relaxed",
  "magnetic_moment_mub_per_cell": 1.0,
  "e_tot_ev_per_atom": -6.699,
  "lattice": [[5.917, 0.000, 0.000], [-2.959, 5.125, 0.000], [0.000, 0.000, 7.607]],
  "species": ["Ba", "O", "O", "O", "O", "O", "O", "O", "O", "Ir", "Ir", "Tm"],
  "frac_coords": [[0.000, 0.000, 0.000], [0.680, 0.835, 0.693], [0.667, 0.333, 0.997], [0.333, 0.667, 0.003], [0.165, 0.845, 0.693], [0.155, 0.320, 0.693], [0.835, 0.155, 0.307], [0.320, 0.165, 0.307], [0.845, 0.680, 0.307], [0.333, 0.667, 0.762], [0.667, 0.333, 0.238], [0.000, 0.000, 0.500]]
}

Record 3
{
  "formula": "LiC3O",
  "functional": "PBE",
  "state": "relaxed",
  "relative_energy_ev_per_atom": 0.000,
  "magnetic_moment_mub_per_cell": 0.0,
  "lattice": [[-2.315, 0.554, -2.826], [-2.300, -2.537, 1.387], [-1.732, 2.628, 1.935]],
  "species": ["C", "C", "C", "Li", "O"],
  "frac_coords": [[0.500, 0.000, 0.000], [0.000, 0.000, 0.500], [0.000, 0.500, 0.000], [0.500, 0.500, 0.500], [0.000, 0.000, 0.000]]
}

Record 4
{
  "formula": "LaPr2Cd8",
  "functional": "PBE",
  "state": "relaxed",
  "magnetic_moment_mub_per_cell": 0.0,
  "ef_ev_per_fu": -3.34,
  "lattice": [[-3.534, -4.063, -0.468], [4.851, -4.327, 1.089], [-2.127, 4.554, 7.656]],
  "species": ["Pr", "Pr", "Cd", "Cd", "Cd", "Cd", "Cd", "Cd", "Cd", "Cd", "La"],
  "frac_coords": [[0.692, 0.692, 0.385], [0.308, 0.308, 0.615], [0.749, 0.501, 0.000], [0.872, 0.102, 0.747], [0.299, 0.799, 0.598], [0.128, 0.898, 0.253], [0.874, 0.645, 0.747], [0.251, 0.499, 0.000], [0.701, 0.201, 0.402], [0.126, 0.355, 0.253], [0.500, 0.000, 0.000]]
}

Record 5
{
  "formula": "Co2SbPt",
  "functional": "PBE",
  "state": "relaxed",
  "magnetic_moment_mub_per_cell": 2.7,
  "e_tot_ev_per_atom": -6.022,
  "lattice": [[4.604, -0.011, 0.011], [3.601, 2.868, 0.011], [0.856, 0.298, 4.467]],
  "species": ["Sb", "Co", "Co", "Pt"],
  "frac_coords": [[0.253, 0.253, 0.233], [0.008, 0.008, 0.977], [0.745, 0.745, 0.771], [0.494, 0.494, 0.519]]
}

Record 6
{
  "formula": "HfHg3Ir",
  "functional": "PBE",
  "state": "relaxed",
  "relative_energy_ev_per_atom": 0.000,
  "magnetic_moment_mub_per_cell": 0.7,
  "ef_ev_per_fu": 4.85,
  "lattice": [[-0.048, 0.403, 5.110], [-4.985, -1.193, 0.047], [1.193, -4.969, 0.403]],
  "species": ["Hg", "Hg", "Hg", "Hf", "Ir"],
  "frac_coords": [[0.000, 0.500, 0.000], [0.500, 0.000, 0.000], [0.000, 0.000, 0.500], [0.500, 0.500, 0.500], [0.000, 0.000, 0.000]]
}

Record 7
{
  "formula": "RbMn4Cl12",
  "functional": "PBE",
  "state": "relaxed",
  "magnetic_moment_mub_per_cell": 17.0,
  "e_tot_ev_per_atom": -4.564,
  "lattice": [[-2.194, 6.208, -4.714], [-4.996, -0.460, 6.356], [7.583, 1.136, 2.603]],
  "species": ["Cl", "Cl", "Cl", "Cl", "Cl", "Cl", "Cl", "Cl", "Cl", "Cl", "Cl", "Cl", "Rb", "Mn", "Mn", "Mn", "Mn"],
  "frac_coords": [[0.703, 0.901, 0.198], [0.496, 0.198, 0.297], [0.297, 0.496, 0.198], [0.099, 0.802, 0.297], [0.198, 0.703, 0.901], [0.802, 0.703, 0.504], [0.504, 0.802, 0.703], [0.703, 0.504, 0.802], [0.901, 0.198, 0.703], [0.297, 0.099, 0.802], [0.802, 0.297, 0.099], [0.198, 0.297, 0.496], [0.000, 0.000, 0.000], [0.500, 0.500, 0.500], [0.000, 0.000, 0.500], [0.000, 0.500, 0.000], [0.500, 0.000, 0.000]]
}

Record 8
{
  "formula": "AcCe3",
  "functional": "PBE",
  "state": "relaxed",
  "magnetic_moment_mub_per_cell": 0.0,
  "ef_ev_per_fu": 0.76,
  "lattice": [[-4.786, 3.830, -3.375], [4.126, -4.382, -3.570], [-3.926, -4.276, 0.713]],
  "species": ["Ce", "Ce", "Ce", "Ce", "Ce", "Ce", "Ac", "Ac"],
  "frac_coords": [[0.287, 0.144, 0.750], [0.856, 0.713, 0.750], [0.713, 0.856, 0.250], [0.144, 0.287, 0.250], [0.144, 0.856, 0.250], [0.856, 0.144, 0.750], [0.333, 0.667, 0.750], [0.667, 0.333, 0.250]]
}

Which formula does entry 1 have? LiSmMgAg